No. 1
# KCrNi2 | Alexandria | PBE-GGA | relaxed
# electronic total energy	-0.3245	Ry/atom
# N(E_F)	0.74	states/eV per atom
# energy above the lowest structure with this stoichiometry	0.6465	eV/atom
# crystal system	orthorhombic
data_KCrNi2
_cell_length_a 2.8836
_cell_length_b 4.6613
_cell_length_c 4.9516
_cell_angle_alpha 90.00
_cell_angle_beta 90.00
_cell_angle_gamma 90.00
_symmetry_space_group_name_H-M 'P m m m'
_symmetry_Int_Tables_number 47
loop_
_symmetry_equiv_pos_as_xyz
'x,y,z'
'-x,-y,-z'
'-x,-y,z'
'x,y,-z'
'x,-y,-z'
'-x,y,z'
'-x,y,-z'
'x,-y,z'
loop_
_atom_site_label
_atom_site_type_symbol
_atom_site_fract_x
_atom_site_fract_y
_atom_site_fract_z
K1 K 0.0000 0.0000 0.0000
Cr1 Cr 0.5000 0.0000 0.5000
Ni1 Ni 0.0000 0.5000 0.5000
Ni2 Ni 0.5000 0.5000 0.0000

---

No. 2
# K2CrNi | Alexandria | PBE-GGA | relaxed
# electronic total energy	-0.2369	Ry/atom
# N(E_F)	0.54	states/eV per atom
# energy above the lowest structure with this stoichiometry	0.5228	eV/atom
# crystal system	cubic
data_K2CrNi
_cell_length_a 7.9853
_cell_length_b 7.9853
_cell_length_c 7.9853
_cell_angle_alpha 90.00
_cell_angle_beta 90.00
_cell_angle_gamma 90.00
_symmetry_space_group_name_H-M 'F m -3 m'
_symmetry_Int_Tables_number 225
_symmetry_space_group_name_Hall '-F 4 2 3'
loop_
_atom_site_label
_atom_site_type_symbol
_atom_site_fract_x
_atom_site_fract_y
_atom_site_fract_z
K1 K 0.2500 0.2500 0.2500
Cr1 Cr 0.0000 0.0000 0.0000
Ni1 Ni 0.0000 0.0000 0.5000

---

No. 3
# KCrNi2 | Alexandria | PBE-GGA | relaxed
# electronic total energy	-0.3720	Ry/atom
# N(E_F)	1.20	states/eV per atom
# energy above the lowest structure with this stoichiometry	0.0000	eV/atom
# crystal system	tetragonal
data_KCrNi2
_cell_length_a 2.9334
_cell_length_b 2.9334
_cell_length_c 7.8343
_cell_angle_alpha 90.00
_cell_angle_beta 90.00
_cell_angle_gamma 90.00
_symmetry_space_group_name_H-M 'P 4/m m m'
_symmetry_Int_Tables_number 123
_symmetry_space_group_name_Hall '-P 4 2'
loop_
_atom_site_label
_atom_site_type_symbol
_atom_site_fract_x
_atom_site_fract_y
_atom_site_fract_z
K1 K 0.0000 0.0000 0.0000
Cr1 Cr 0.0000 0.0000 0.5000
Ni1 Ni 0.5000 0.5000 0.3338

---

No. 4
# K2CrNi | Alexandria | PBE-GGA | relaxed
# electronic total energy	-0.2609	Ry/atom
# N(E_F)	0.86	states/eV per atom
# energy above the lowest structure with this stoichiometry	0.1966	eV/atom
# crystal system	tetragonal
data_K2CrNi
_cell_length_a 12.0800
_cell_length_b 12.0800
_cell_length_c 4.6590
_cell_angle_alpha 90.00
_cell_angle_beta 90.00
_cell_angle_gamma 90.00
_symmetry_space_group_name_H-M 'I -4 2 d'
_symmetry_Int_Tables_number 122
_symmetry_space_group_name_Hall 'I -4 2bw'
loop_
_atom_site_label
_atom_site_type_symbol
_atom_site_fract_x
_atom_site_fract_y
_atom_site_fract_z
K1 K 0.0742 0.2500 0.1250
Cr1 Cr 0.0000 0.0000 0.5000
Ni1 Ni 0.0000 0.0000 0.0000

---

No. 5
# K4CrNi | Alexandria | PBE-GGA | relaxed
# electronic total energy	-0.1616	Ry/atom
# N(E_F)	2.34	states/eV per atom
# crystal system	cubic
data_K4CrNi
_cell_length_a 10.0985
_cell_length_b 10.0985
_cell_length_c 10.0985
_cell_angle_alpha 90.00
_cell_angle_beta 90.00
_cell_angle_gamma 90.00
_symmetry_space_group_name_H-M 'F -4 3 m'
_symmetry_Int_Tables_number 216
_symmetry_space_group_name_Hall 'F -4 2 3'
loop_
_atom_site_label
_atom_site_type_symbol
_atom_site_fract_x
_atom_site_fract_y
_atom_site_fract_z
K1 K 0.1244 0.1244 0.1244
Cr1 Cr 0.0000 0.0000 0.5000
Ni1 Ni 0.2500 0.2500 0.7500

---

No. 6
# KCr2Ni | Alexandria | PBE-GGA | relaxed
# electronic total energy	-0.3791	Ry/atom
# N(E_F)	1.13	states/eV per atom
# energy above the lowest structure with this stoichiometry	0.6988	eV/atom
# crystal system	orthorhombic
data_KCr2Ni
_cell_length_a 6.0632
_cell_length_b 8.5194
_cell_length_c 2.9492
_cell_angle_alpha 90.00
_cell_angle_beta 90.00
_cell_angle_gamma 90.00
_symmetry_space_group_name_H-M 'C m m m'
_symmetry_Int_Tables_number 65
_symmetry_space_group_name_Hall '-C 2 2'
loop_
_atom_site_label
_atom_site_type_symbol
_atom_site_fract_x
_atom_site_fract_y
_atom_site_fract_z
K1 K 0.0000 0.0000 0.0000
Cr1 Cr 0.2500 0.2500 0.5000
Ni1 Ni 0.0000 0.5000 0.0000

---

No. 7
# KCrNi | Alexandria | PBE-GGA | relaxed
# electronic total energy	-0.3283	Ry/atom
# N(E_F)	0.82	states/eV per atom
# energy above the lowest structure with this stoichiometry	0.2857	eV/atom
# crystal system	trigonal
data_KCrNi
_cell_length_a 3.2710
_cell_length_b 3.2710
_cell_length_c 7.1645
_cell_angle_alpha 90.00
_cell_angle_beta 90.00
_cell_angle_gamma 120.00
_symmetry_space_group_name_H-M 'P 3 m 1'
_symmetry_Int_Tables_number 156
loop_
_symmetry_equiv_pos_as_xyz
'x,y,z'
'-y,x-y,z'
'-x+y,-x,z'
'-y,-x,z'
'-x+y,y,z'
'x,x-y,z'
loop_
_atom_site_label
_atom_site_type_symbol
_atom_site_fract_x
_atom_site_fract_y
_atom_site_fract_z
K1 K 0.0000 0.0000 0.0000
Cr1 Cr 0.3333 0.6667 0.5640
Ni1 Ni 0.6667 0.3333 0.3688

---

No. 8
# K2CrNi | Alexandria | PBE-GGA | relaxed
# electronic total energy	-0.2745	Ry/atom
# N(E_F)	0.97	states/eV per atom
# energy above the lowest structure with this stoichiometry	0.0112	eV/atom
# crystal system	monoclinic
data_K2CrNi
_cell_length_a 20.2059
_cell_length_b 3.3039
_cell_length_c 3.8330
_cell_angle_alpha 90.00
_cell_angle_beta 100.58
_cell_angle_gamma 90.00
_symmetry_space_group_name_H-M 'C 1 2/m 1'
_symmetry_Int_Tables_number 12
loop_
_symmetry_equiv_pos_as_xyz
'x,y,z'
'-x,-y,-z'
'-x,y,-z'
'x,-y,z'
'x+1/2,y+1/2,z'
'-x+1/2,-y+1/2,-z'
'-x+1/2,y+1/2,-z'
'x+1/2,-y+1/2,z'
loop_
_atom_site_label
_atom_site_type_symbol
_atom_site_fract_x
_atom_site_fract_y
_atom_site_fract_z
K1 K 0.1461 0.0000 0.1394
Cr1 Cr 0.0000 0.0000 0.5000
Ni1 Ni 0.0000 0.5000 0.0000

---

No. 9
# K3CrNi | Alexandria | PBE-GGA | relaxed
# electronic total energy	-0.2032	Ry/atom
# N(E_F)	0.45	states/eV per atom
# energy above the lowest structure with this stoichiometry	0.0000	eV/atom
# crystal system	cubic
data_K3CrNi
_cell_length_a 6.0908
_cell_length_b 6.0908
_cell_length_c 6.0908
_cell_angle_alpha 90.00
_cell_angle_beta 90.00
_cell_angle_gamma 90.00
_symmetry_space_group_name_H-M 'P m -3 m'
_symmetry_Int_Tables_number 221
_symmetry_space_group_name_Hall '-P 4 2 3'
loop_
_atom_site_label
_atom_site_type_symbol
_atom_site_fract_x
_atom_site_fract_y
_atom_site_fract_z
K1 K 0.0000 0.0000 0.5000
Cr1 Cr 0.5000 0.5000 0.5000
Ni1 Ni 0.0000 0.0000 0.0000